# 1
A plane-wave DFT calculation with PBE was carried out for a relaxed structure of Nd2YHoSe4. Values from VASP.

```
&SYSTEM
  ibrav = 0, nat = 8, ntyp = 4
/
ATOMIC_SPECIES
Nd 144.24 Nd.upf
Y 88.91 Y.upf
Ho 164.93 Ho.upf
Se 78.96 Se.upf
ATOMIC_POSITIONS crystal
Nd 0.000 0.000 0.000
Nd 0.500 0.500 0.000
Y 0.000 0.500 0.500
Ho 0.500 0.000 0.500
Se 0.246 0.000 0.735
Se 0.257 0.500 0.266
Se 0.743 0.500 0.734
Se 0.754 0.000 0.265
CELL_PARAMETERS angstrom
7.122 0.000 0.000
0.000 4.083 0.000
-2.349 0.000 6.958
```

Properties
uncorrected formation energy	-1.80	eV/atom



# 2
A plane-wave DFT calculation with PBE was carried out for a relaxed structure of Nd3Y2HoSe6. Values from VASP.

```
&SYSTEM
  ibrav = 0, nat = 12, ntyp = 4
/
ATOMIC_SPECIES
Nd 144.24 Nd.upf
Y 88.91 Y.upf
Ho 164.93 Ho.upf
Se 78.96 Se.upf
ATOMIC_POSITIONS crystal
Nd 0.000 0.000 0.000
Nd 0.332 0.668 0.000
Nd 0.668 0.332 0.000
Y 0.167 0.833 0.500
Y 0.833 0.167 0.500
Ho 0.500 0.500 0.500
Se 0.090 0.422 0.265
Se 0.248 0.248 0.737
Se 0.422 0.090 0.265
Se 0.578 0.910 0.735
Se 0.752 0.752 0.263
Se 0.910 0.578 0.735
CELL_PARAMETERS angstrom
3.559 -6.200 0.000
3.559 6.200 0.000
-2.387 0.000 6.887
```

Properties
uncorrected formation energy	-1.80	eV/atom



# 3
A plane-wave DFT calculation with PBE was carried out for a relaxed structure of NdYHo2Se4. Values from VASP.

```
&SYSTEM
  ibrav = 0, nat = 8, ntyp = 4
/
ATOMIC_SPECIES
Nd 144.24 Nd.upf
Y 88.91 Y.upf
Ho 164.93 Ho.upf
Se 78.96 Se.upf
ATOMIC_POSITIONS crystal
Nd 0.000 0.000 0.000
Y 0.500 0.500 0.000
Ho 0.000 0.500 0.500
Ho 0.500 0.000 0.500
Se 0.253 0.000 0.742
Se 0.260 0.500 0.262
Se 0.740 0.500 0.738
Se 0.747 0.000 0.258
CELL_PARAMETERS angstrom
7.108 0.000 0.000
0.000 4.047 0.000
-2.309 0.000 6.820
```

Properties
uncorrected formation energy	-1.76	eV/atom



# 4
A plane-wave DFT calculation with PBE was carried out for a relaxed structure of Nd4YHo3Se8. Values from VASP.

```
&SYSTEM
  ibrav = 0, nat = 16, ntyp = 4
/
ATOMIC_SPECIES
Nd 144.24 Nd.upf
Y 88.91 Y.upf
Ho 164.93 Ho.upf
Se 78.96 Se.upf
ATOMIC_POSITIONS crystal
Nd 0.000 0.000 0.000
Nd 0.000 0.500 0.500
Nd 0.500 0.000 0.500
Nd 0.500 0.500 0.000
Y 0.500 0.500 0.500
Ho 0.000 0.000 0.500
Ho 0.000 0.500 0.000
Ho 0.500 0.000 0.000
Se 0.243 0.745 0.745
Se 0.244 0.244 0.244
Se 0.255 0.255 0.757
Se 0.255 0.757 0.255
Se 0.745 0.243 0.745
Se 0.745 0.745 0.243
Se 0.756 0.756 0.756
Se 0.757 0.255 0.255
CELL_PARAMETERS angstrom
4.101 2.368 6.934
-4.101 2.368 6.934
0.000 -4.735 6.934
```

Properties
uncorrected formation energy	-1.79	eV/atom